[1]
Here is a relaxed Rb2V2Pb crystal from Alexandria. Energies are from PBE-GGA.

The total energy comes out at -40.77 eV per cell. As for the volume: 30.3 A^3/atom. The calculation puts the formation energy from the elements at 699.4 meV per atom.

It has space group I4/mmm (No. 139), with a = 3.393 Å, b = 3.393 Å, c = 26.306 Å, α = 90.00°, β = 90.00° and γ = 90.00°. The asymmetric unit holds Rb at (0.000, 0.000, 0.119), V at (0.000, 0.500, 0.250) and Pb at (0.000, 0.000, 0.500).

***

[2]
Here is a relaxed Cu2Hg3 crystal from Alexandria. Energies are from PBE-GGA.

The total energy comes out at -23.73 eV per cell. As for the volume: 19.3 A^3/atom. The calculation puts the formation energy from the elements at 237.4 meV per atom.

It has space group R-3m (No. 166, hexagonal axes), with a = 3.0955 Å, b = 3.0955 Å, c = 34.8109 Å, α = 90.00°, β = 90.00° and γ = 120.00°. The asymmetric unit holds Cu at (0.0000, 0.0000, 0.1049), Hg at (0.0000, 0.0000, 0.2909) and Hg at (0.0000, 0.0000, 0.5000).

***

[3]
Here is a relaxed Rb2NaMg2F7 crystal from Alexandria. Energies are from PBE-GGA.

The total energy comes out at -114.58 eV per cell. The calculation puts the uncorrected formation energy at -3.146 eV/atom. As for the volume: 14.9 A^3/atom.

It has space group C2/m (No. 12), with a = 5.725 Å, b = 5.725 Å, c = 11.310 Å, α = 90.00°, β = 104.59° and γ = 90.00°. The asymmetric unit holds Rb at (0.183, 0.000, 0.369), Na at (0.000, 0.000, 0.000), Mg at (0.089, 0.500, 0.180), F at (0.000, 0.500, 0.000), F at (0.164, 0.250, 0.826) and F at (0.181, 0.500, 0.365).

***

[4]
Here is a relaxed Zn2Sn2Hg crystal from Alexandria. Energies are from PBE-GGA.

The total energy comes out at -20.32 eV per cell. As for the volume: 24.5 A^3/atom. The calculation puts the formation energy from the elements at 138.8 meV per atom.

It has space group I4/mmm (No. 139), with a = 4.465 Å, b = 4.465 Å, c = 12.297 Å, α = 90.00°, β = 90.00° and γ = 90.00°. The asymmetric unit holds Zn at (0.000, 0.000, 0.099), Sn at (0.000, 0.500, 0.250) and Hg at (0.000, 0.000, 0.500).

***

[5]
Here is a relaxed NbTlCd2 crystal from Alexandria. Energies are from PBE-GGA.

The total energy comes out at -47.46 eV per cell. As for the volume: 22.6 A^3/atom. The calculation puts the formation energy from the elements at 600.0 meV per atom.

It has space group Fm-3m (No. 225), with a = 7.119 Å, b = 7.119 Å, c = 7.119 Å, α = 90.00°, β = 90.00° and γ = 90.00°. The asymmetric unit holds Nb at (0.000, 0.000, 0.000), Tl at (0.000, 0.000, 0.500) and Cd at (0.250, 0.250, 0.250).

***

[6]
Here is a relaxed Sr3In2Ag7 crystal from Alexandria. Energies are from PBE-GGA.

The total energy comes out at -64.16 eV per cell. As for the volume: 26.0 A^3/atom. The calculation puts the formation energy from the elements at -133.0 meV per atom.

It has space group I4/mmm (No. 139), with a = 4.572 Å, b = 4.572 Å, c = 29.884 Å, α = 90.00°, β = 90.00° and γ = 90.00°. The asymmetric unit holds Sr at (0.000, 0.000, 0.000), Sr at (0.000, 0.000, 0.170), In at (0.000, 0.000, 0.372), Ag at (0.000, 0.000, 0.276), Ag at (0.000, 0.000, 0.500) and Ag at (0.000, 0.500, 0.074).

***

[7]
Here is a relaxed YNpSe3 crystal from Alexandria. Energies are from PBE-GGA.

The total energy comes out at -146.86 eV per cell. The calculation puts the uncorrected formation energy at -1.371 eV/atom. As for the volume: 29.5 A^3/atom.

It has space group P2_1/c (No. 14), with a = 10.493 Å, b = 5.346 Å, c = 10.618 Å, α = 90.00°, β = 97.97° and γ = 90.00°. The asymmetric unit holds Y at (0.147, 0.161, 0.405), Np at (0.339, 0.657, 0.225), Se at (0.089, 0.111, 0.660), Se at (0.247, 0.665, 0.469) and Se at (0.397, 0.156, 0.310).

***

[8]
Here is a relaxed Hf3NbAu crystal from Alexandria. Energies are from PBE-GGA.

The total energy comes out at -38.20 eV per cell. As for the volume: 25.4 A^3/atom. The calculation puts the formation energy from the elements at 1001.5 meV per atom.

It has space group Pm-3m (No. 221), with a = 5.027 Å, b = 5.027 Å, c = 5.027 Å, α = 90.00°, β = 90.00° and γ = 90.00°. The asymmetric unit holds Hf at (0.000, 0.000, 0.500), Nb at (0.000, 0.000, 0.000) and Au at (0.500, 0.500, 0.500).

***

Question: The highest volume belongs to which entry?
Answer: Rb2V2Pb

***

Question: Among the records above, which one has the lowest volume?
Answer: Rb2NaMg2F7